Entry 1:
This record from Alexandria describes a relaxed structure of Zn2HgPt. The functional is PBE.

The structure in CIF format:
```
data_Zn2HgPt
_cell_length_a 3.9167
_cell_length_b 3.9167
_cell_length_c 8.5187
_cell_angle_alpha 90.00
_cell_angle_beta 90.00
_cell_angle_gamma 90.00
_symmetry_space_group_name_H-M 'I -4 m 2'
_symmetry_Int_Tables_number 119
_symmetry_space_group_name_Hall 'I -4 -2'
loop_
_atom_site_label
_atom_site_type_symbol
_atom_site_fract_x
_atom_site_fract_y
_atom_site_fract_z
Zn1 Zn 0.0000 0.0000 0.0000
Zn2 Zn 0.0000 0.5000 0.2500
Hg1 Hg 0.0000 0.5000 0.7500
Pt1 Pt 0.0000 0.0000 0.5000
```

Size of the total moment: 0.00 μB/cell
Energy: -19.138 eV per cell
E_form: -0.17 eV per atom

=====

Entry 2:
This record from Alexandria describes a relaxed structure of YMg2Br. The functional is PBE.

The structure in CIF format:
```
data_YMg2Br
_cell_length_a 10.8890
_cell_length_b 3.6289
_cell_length_c 5.7194
_cell_angle_alpha 90.00
_cell_angle_beta 111.33
_cell_angle_gamma 90.00
_symmetry_space_group_name_H-M 'C 1 m 1'
_symmetry_Int_Tables_number 8
loop_
_symmetry_equiv_pos_as_xyz
'x,y,z'
'x,-y,z'
'x+1/2,y+1/2,z'
'x+1/2,-y+1/2,z'
loop_
_atom_site_label
_atom_site_type_symbol
_atom_site_fract_x
_atom_site_fract_y
_atom_site_fract_z
Y1 Y 0.0000 0.0000 0.0000
Mg1 Mg 0.0326 0.5000 0.5362
Mg2 Mg 0.2785 0.5000 0.3900
Br1 Br 0.2737 0.0000 0.9689
```

Size of the total moment: 0.00 μB/cell
Formation energy from raw total energies: -1.4 eV/f.u.
Distance to the lowest polymorph of the same formula: 74 meV/atom
Energy: -25.501 eV per cell

=====

Entry 3:
This record from Alexandria describes a relaxed structure of PmZnNiGe. The functional is PBE.

The structure in CIF format:
```
data_PmZnNiGe
_cell_length_a 6.5920
_cell_length_b 6.5920
_cell_length_c 6.5920
_cell_angle_alpha 90.00
_cell_angle_beta 90.00
_cell_angle_gamma 90.00
_symmetry_space_group_name_H-M 'F -4 3 m'
_symmetry_Int_Tables_number 216
_symmetry_space_group_name_Hall 'F -4 2 3'
loop_
_atom_site_label
_atom_site_type_symbol
_atom_site_fract_x
_atom_site_fract_y
_atom_site_fract_z
Pm1 Pm 0.0000 0.0000 0.0000
Zn1 Zn 0.2500 0.2500 0.7500
Ni1 Ni 0.2500 0.2500 0.2500
Ge1 Ge 0.0000 0.0000 0.5000
```

Size of the total moment: 0.00 μB/cell
Energy: -70.206 eV per cell
E_form: -0.28 eV per atom

=====

Entry 4:
This record from Alexandria describes a relaxed structure of Tb2SmDy4Tm2. The functional is PBE.

The structure in CIF format:
```
data_Tb2SmDy4Tm2
_cell_length_a 18.5514
_cell_length_b 3.5755
_cell_length_c 9.4968
_cell_angle_alpha 90.00
_cell_angle_beta 115.70
_cell_angle_gamma 90.00
_symmetry_space_group_name_H-M 'C 1 2/m 1'
_symmetry_Int_Tables_number 12
loop_
_symmetry_equiv_pos_as_xyz
'x,y,z'
'-x,-y,-z'
'-x,y,-z'
'x,-y,z'
'x+1/2,y+1/2,z'
'-x+1/2,-y+1/2,-z'
'-x+1/2,y+1/2,-z'
'x+1/2,-y+1/2,z'
loop_
_atom_site_label
_atom_site_type_symbol
_atom_site_fract_x
_atom_site_fract_y
_atom_site_fract_z
Tb1 Tb 0.1482 0.0000 0.1674
Sm1 Sm 0.0000 0.0000 0.5000
Dy1 Dy 0.0187 0.5000 0.8342
Dy2 Dy 0.1855 0.0000 0.8339
Tm1 Tm 0.1678 0.5000 0.5009
```

Size of the total moment: 0.00 μB/cell
Energy: -82.603 eV per cell
E_form: 0.00 eV per atom

=====

Entry 5:
This record from Alexandria describes a relaxed structure of CsSn6Te8. The functional is PBE.

The structure in CIF format:
```
data_CsSn6Te8
_cell_length_a 11.8208
_cell_length_b 11.8208
_cell_length_c 15.6637
_cell_angle_alpha 90.00
_cell_angle_beta 90.00
_cell_angle_gamma 120.00
_symmetry_space_group_name_H-M 'R -3'
_symmetry_Int_Tables_number 148
_symmetry_space_group_name_Hall '-R 3'
loop_
_atom_site_label
_atom_site_type_symbol
_atom_site_fract_x
_atom_site_fract_y
_atom_site_fract_z
Cs1 Cs 0.0000 0.0000 0.0000
Sn1 Sn 0.0031 0.7997 0.3846
Te1 Te 0.0000 0.0000 0.2721
Te2 Te 0.0177 0.7089 0.5777
```

Size of the total moment: 0.00 μB/cell
Formation energy from raw total energies: -3.8 eV/f.u.
Distance to the lowest polymorph of the same formula: 85 meV/atom
Energy: -161.321 eV per cell

=====

Entry 6:
This record from Alexandria describes a relaxed structure of K2CdCoPd. The functional is PBE.

The structure in CIF format:
```
data_K2CdCoPd
_cell_length_a 6.1873
_cell_length_b 6.1873
_cell_length_c 4.7562
_cell_angle_alpha 90.00
_cell_angle_beta 90.00
_cell_angle_gamma 90.00
_symmetry_space_group_name_H-M 'P 4/m m m'
_symmetry_Int_Tables_number 123
_symmetry_space_group_name_Hall '-P 4 2'
loop_
_atom_site_label
_atom_site_type_symbol
_atom_site_fract_x
_atom_site_fract_y
_atom_site_fract_z
K1 K 0.0000 0.5000 0.0000
Cd1 Cd 0.0000 0.0000 0.5000
Co1 Co 0.5000 0.5000 0.5000
Pd1 Pd 0.5000 0.5000 0.0000
```

Size of the total moment: 2.10 μB/cell
Distance to the lowest polymorph of the same formula: 0 meV/atom
Energy: -12.680 eV per cell
E_form: 0.55 eV per atom

=====

Entry 7:
This record from Alexandria describes a relaxed structure of LiRePt. The functional is PBE.

The structure in CIF format:
```
data_LiRePt
_cell_length_a 9.1883
_cell_length_b 2.8548
_cell_length_c 6.8361
_cell_angle_alpha 90.00
_cell_angle_beta 108.18
_cell_angle_gamma 90.00
_symmetry_space_group_name_H-M 'C 1 2/m 1'
_symmetry_Int_Tables_number 12
loop_
_symmetry_equiv_pos_as_xyz
'x,y,z'
'-x,-y,-z'
'-x,y,-z'
'x,-y,z'
'x+1/2,y+1/2,z'
'-x+1/2,-y+1/2,-z'
'-x+1/2,y+1/2,-z'
'x+1/2,-y+1/2,z'
loop_
_atom_site_label
_atom_site_type_symbol
_atom_site_fract_x
_atom_site_fract_y
_atom_site_fract_z
Li1 Li 0.1853 0.0000 0.0945
Re1 Re 0.1506 0.0000 0.5490
Pt1 Pt 0.0007 0.5000 0.2157
```

Size of the total moment: 0.00 μB/cell
Distance to the lowest polymorph of the same formula: 130 meV/atom
Energy: -83.084 eV per cell
E_form: -0.12 eV per atom

=====

Entry 8:
This record from Alexandria describes a relaxed structure of RhC2. The functional is PBE.

The structure in CIF format:
```
data_RhC2
_cell_length_a 4.0485
_cell_length_b 4.0485
_cell_length_c 4.0616
_cell_angle_alpha 90.00
_cell_angle_beta 90.00
_cell_angle_gamma 120.00
_symmetry_space_group_name_H-M 'P 63/m m c'
_symmetry_Int_Tables_number 194
_symmetry_space_group_name_Hall '-P 6c 2c'
loop_
_atom_site_label
_atom_site_type_symbol
_atom_site_fract_x
_atom_site_fract_y
_atom_site_fract_z
Rh1 Rh 0.3333 0.6667 0.2500
C1 C 0.0000 0.0000 0.0000
C2 C 0.3333 0.6667 0.7500
```

Size of the total moment: 0.00 μB/cell
Distance to the lowest polymorph of the same formula: 1903 meV/atom
Energy: -37.413 eV per cell
E_form: 2.36 eV per atom